1.
{
  "formula": "NaRhN2",
  "functional": "PBE",
  "state": "optimized geometry",
  "lattice_angstrom": [[-2.6582, 2.6582, 4.1700], [2.6582, -2.6582, 4.1700], [2.6582, 2.6582, -4.1700]],
  "species": ["Na", "Na", "Rh", "Rh", "N", "N", "N", "N"],
  "frac_coords": [[0.0000, 0.0000, 0.0000], [0.7500, 0.2500, 0.5000], [0.2500, 0.7500, 0.5000], [0.5000, 0.5000, 0.0000], [0.2091, 0.6250, 0.0841], [0.3750, 0.4591, 0.5841], [0.5409, 0.1250, 0.9159], [0.8750, 0.7909, 0.4159]],
  "volume_a3_per_atom": 14.733,
  "relative_energy_mev_per_atom": 0,
  "total_magnetization_mub_per_fu": 0.00,
  "dos_at_fermi_per_ev_cell": 4.26,
  "final_energy_ry_per_atom": -0.43587,
  "e_form_raw_mev_per_atom": 400.1
}

=====

2.
{
  "formula": "PrNd5Y2",
  "functional": "PBE",
  "state": "optimized geometry",
  "lattice_angstrom": [[6.9706, 0.0000, 0.0000], [3.0481, 8.9547, 0.0000], [3.0574, -0.1858, 8.9672]],
  "species": ["Pr", "Pr", "Nd", "Nd", "Nd", "Nd", "Nd", "Nd", "Nd", "Nd", "Nd", "Nd", "Y", "Y", "Y", "Y"],
  "frac_coords": [[0.2491, 0.2902, 0.2055], [0.7509, 0.7098, 0.7945], [0.0027, 0.1657, 0.5836], [0.2493, 0.4598, 0.5415], [0.2501, 0.7936, 0.7103], [0.4976, 0.4179, 0.8353], [0.5002, 0.0859, 0.6693], [0.4998, 0.9141, 0.3307], [0.5024, 0.5821, 0.1647], [0.7499, 0.2064, 0.2897], [0.7507, 0.5402, 0.4585], [0.9973, 0.8343, 0.4164], [0.0000, 0.3319, 0.9162], [0.0000, 0.6681, 0.0838], [0.2486, 0.9583, 0.0403], [0.7514, 0.0417, 0.9597]],
  "volume_a3_per_atom": 34.983,
  "formation_energy_ev_per_fu": 0.20,
  "relative_energy_mev_per_atom": 15,
  "total_magnetization_mub_per_fu": 0.00,
  "dos_at_fermi_per_ev_cell": 28.16,
  "final_energy_ry_per_atom": -0.37988
}

=====

3.
{
  "formula": "Hf2Be2Au",
  "functional": "PBE",
  "state": "optimized geometry",
  "lattice_angstrom": [[6.3445, 0.0000, 0.0000], [0.0000, 6.3445, 0.0000], [0.0000, 0.0000, 3.8000]],
  "species": ["Hf", "Hf", "Hf", "Hf", "Be", "Be", "Be", "Be", "Au", "Au"],
  "frac_coords": [[0.1707, 0.3293, 0.0000], [0.3293, 0.8293, 0.0000], [0.6707, 0.1707, 0.0000], [0.8293, 0.6707, 0.0000], [0.1233, 0.6233, 0.5000], [0.3767, 0.1233, 0.5000], [0.6233, 0.8767, 0.5000], [0.8767, 0.3767, 0.5000], [0.0000, 0.0000, 0.5000], [0.5000, 0.5000, 0.5000]],
  "volume_a3_per_atom": 15.296,
  "formation_energy_ev_per_fu": -2.07,
  "total_magnetization_mub_per_fu": 0.00,
  "dos_at_fermi_per_ev_cell": 4.24,
  "final_energy_ry_per_atom": -0.48081
}